# Li2Pr2Pt15

A geometry-optimized Li2Pr2Pt15 structure (PBE, the Alexandria database).

Summary:
For the spin magnetization, the calculation gives 0.00 μB/f.u. As for the density of states at the Fermi level: 14.02 states/eV per cell. As for the space group: No. 166. The calculation puts the energy of formation at -586 meV per atom. As for the crystal system: trigonal. As for the total energy: -115.14 eV for the cell shown. For the calculated density, the calculation gives 15.91 g/cm3.

```
Li2Pr2Pt15
1.0
4.6484 2.6837 4.4922
-4.6484 2.6837 4.4922
0.0000 -5.3675 4.4922
Li Pr Pt
2 2 15
Cartesian
0.0000 0.0000 1.2785
0.0000 0.0000 12.1980
0.0000 0.0000 4.6284
0.0000 0.0000 8.8481
-4.6483 0.0000 6.7382
-1.4673 -2.8260 4.4922
-2.3242 1.3419 2.2461
-3.1810 0.1422 4.4922
-2.3214 -1.3402 6.6485
1.4673 -2.8260 4.4922
-1.7137 2.6837 4.4922
0.0000 -2.6805 6.8280
-2.3214 1.3403 6.8280
2.3242 1.3419 2.2461
2.3214 -1.3402 6.6484
0.0000 2.6805 6.6484
3.1810 0.1422 4.4922
1.7137 2.6837 4.4922
2.3214 1.3402 6.8280
```